DFT (PBE-GGA) results for a relaxed TbPm2Dy2Er2 crystal.

Cell: 5.685 5.685 8.743 Å, 71.03 71.03 60.00°
Atoms (fractional coordinates):
1 Tb 0.000 0.000 0.000
2 Pm 0.139 0.139 0.584
3 Pm 0.861 0.861 0.416
4 Dy 0.718 0.718 0.845
5 Dy 0.282 0.282 0.155
6 Er 0.575 0.575 0.274
7 Er 0.425 0.425 0.726

Values from the calculation:
The magnetization comes out at 0.268 Bohr magnetons per cell. The total energy comes out at -31.4 eV per formula unit.

***

DFT (PBE-GGA) results for a relaxed KSbSe crystal.

Cell: 4.203 4.061 6.140 Å, 89.91 72.57 90.02°
Atoms (fractional coordinates):
1 K 0.840 0.716 0.031
2 Sb 0.526 0.218 0.575
3 Se 0.147 0.719 0.470

Values from the calculation:
The magnetization comes out at 0.000 Bohr magnetons per cell. For the uncorrected formation energy, the calculation gives -0.473 eV per atom. The excess energy over the best structure of this formula in the dataset is 216 meV/atom.

***

DFT (PBE-GGA) results for a relaxed HoSn2Pd7 crystal.

Cell: 4.106 4.106 11.532 Å, 100.26 100.26 90.00°
Atoms (fractional coordinates):
1 Ho 0.000 0.000 0.000
2 Sn 0.671 0.671 0.341
3 Sn 0.329 0.329 0.659
4 Pd 0.093 0.593 0.185
5 Pd 0.407 0.907 0.815
6 Pd 0.593 0.093 0.185
7 Pd 0.500 0.500 0.000
8 Pd 0.750 0.250 0.500
9 Pd 0.907 0.407 0.815
10 Pd 0.250 0.750 0.500

Values from the calculation:
The magnetization comes out at 0.000 Bohr magnetons per cell. The excess energy over the best structure of this formula in the dataset is 0 meV/atom.

***

DFT (PBE-GGA) results for a relaxed SmIn2Pd crystal.

Cell: 5.783 7.512 17.040 Å, 90.00 90.00 90.00°
Atoms (fractional coordinates):
1 Sm 0.470 0.250 0.145
2 Sm 0.970 0.750 0.355
3 Sm 0.530 0.750 0.855
4 Sm 0.030 0.250 0.645
5 Sm 0.727 0.250 0.393
6 Sm 0.227 0.750 0.107
7 Sm 0.273 0.750 0.607
8 Sm 0.773 0.250 0.893
9 In 0.967 0.050 0.216
10 In 0.467 0.950 0.284
11 In 0.033 0.550 0.784
12 In 0.533 0.450 0.716
13 In 0.033 0.950 0.784
14 In 0.533 0.050 0.716
15 In 0.967 0.450 0.216
16 In 0.467 0.550 0.284
17 In 0.735 0.548 0.032
18 In 0.235 0.452 0.468
19 In 0.265 0.048 0.968
20 In 0.765 0.952 0.532
21 In 0.265 0.452 0.968
22 In 0.765 0.548 0.532
23 In 0.735 0.952 0.032
24 In 0.235 0.048 0.468
25 Pd 0.217 0.250 0.329
26 Pd 0.717 0.750 0.171
27 Pd 0.783 0.750 0.671
28 Pd 0.283 0.250 0.829
29 Pd 0.993 0.250 0.074
30 Pd 0.493 0.750 0.426
31 Pd 0.007 0.750 0.926
32 Pd 0.507 0.250 0.574

Values from the calculation:
The magnetization comes out at 0.000 Bohr magnetons per cell. The total energy comes out at -17.9 eV per formula unit.

***

DFT (PBE-GGA) results for a relaxed SrSbP2O crystal.

Cell: 5.227 5.227 4.087 Å, 90.00 90.00 90.00°
Each line ends with the local moment (μB).
Atoms (fractional coordinates):
1 Sb 0.000 0.000 0.000  -0.01
2 O 0.000 0.000 0.500  0.06
3 P 0.000 0.500 0.000  0.18
4 P 0.500 0.000 0.000  0.18
5 Sr 0.500 0.500 0.500  0.02

Values from the calculation:
The magnetization comes out at 0.873 Bohr magnetons per cell. For the uncorrected formation energy, the calculation gives -0.333 eV per atom. The excess energy over the best structure of this formula in the dataset is 0 meV/atom.

***

DFT (PBE-GGA) results for a relaxed AcNdHgRu crystal.

Cell: 5.331 5.331 5.331 Å, 60.00 60.00 60.00°
Atoms (fractional coordinates):
1 Ru 0.750 0.750 0.750
2 Ac 0.500 0.500 0.500
3 Nd 0.000 0.000 0.000
4 Hg 0.250 0.250 0.250

Values from the calculation:
The magnetization comes out at 0.000 Bohr magnetons per cell. The total energy comes out at -19.1 eV per formula unit.

***

DFT (PBE-GGA) results for a relaxed Pr7Nd12Ho crystal.

Cell: 8.968 8.968 8.968 Å, 87.67 87.67 87.67°
Atoms (fractional coordinates):
1 Pr 0.851 0.607 0.924
2 Pr 0.393 0.076 0.149
3 Pr 0.076 0.149 0.393
4 Pr 0.500 0.500 0.500
5 Pr 0.924 0.851 0.607
6 Pr 0.607 0.924 0.851
7 Pr 0.149 0.393 0.076
8 Nd 0.856 0.254 0.725
9 Nd 0.746 0.275 0.144
10 Nd 0.615 0.137 0.492
11 Nd 0.863 0.508 0.385
12 Nd 0.275 0.144 0.746
13 Nd 0.508 0.385 0.863
14 Nd 0.492 0.615 0.137
15 Nd 0.725 0.856 0.254
16 Nd 0.137 0.492 0.615
17 Nd 0.385 0.863 0.508
18 Nd 0.254 0.725 0.856
19 Nd 0.144 0.746 0.275
20 Ho 0.000 0.000 0.000

Values from the calculation:
The magnetization comes out at 0.000 Bohr magnetons per cell. The excess energy over the best structure of this formula in the dataset is 0 meV/atom.

***

DFT (PBE-GGA) results for a relaxed Th8Hg2Os crystal.

Cell: 5.455 6.822 9.786 Å, 110.08 106.18 90.00°
Atoms (fractional coordinates):
1 Th 0.409 0.556 0.818
2 Th 0.648 0.985 0.295
3 Th 0.786 0.669 0.571
4 Th 0.996 0.230 0.992
5 Th 0.214 0.331 0.429
6 Th 0.352 0.015 0.705
7 Th 0.591 0.444 0.182
8 Th 0.004 0.770 0.008
9 Hg 0.829 0.257 0.657
10 Hg 0.171 0.743 0.343
11 Os 0.500 0.000 0.000

Values from the calculation:
The magnetization comes out at 0.000 Bohr magnetons per cell. The total energy comes out at -71.5 eV per formula unit.

***

DFT (PBE-GGA) results for a relaxed Na3CuSn3Se8 crystal.

Cell: 7.838 7.840 8.577 Å, 117.21 90.00 120.00°
Atoms (fractional coordinates):
1 Na 0.000 0.000 0.000
2 Na 0.000 0.500 0.000
3 Na 0.500 0.500 0.000
4 Cu 0.000 0.000 0.500
5 Sn 0.500 0.000 0.500
6 Sn 0.500 0.500 0.500
7 Sn 0.000 0.500 0.500
8 Se 0.257 0.515 0.272
9 Se 0.743 0.485 0.728
10 Se 0.772 0.545 0.293
11 Se 0.228 0.455 0.707
12 Se 0.772 0.020 0.292
13 Se 0.228 0.980 0.708
14 Se 0.248 0.020 0.292
15 Se 0.752 0.980 0.708

Values from the calculation:
The magnetization comes out at 0.010 Bohr magnetons per cell. For the uncorrected formation energy, the calculation gives -0.526 eV per atom.

***

DFT (PBE-GGA) results for a relaxed InPbO2F crystal.

Cell: 4.243 4.243 4.255 Å, 90.00 90.00 90.00°
Atoms (fractional coordinates):
1 Pb 0.500 0.500 0.500
2 F 0.000 0.000 0.500
3 O 0.000 0.500 0.000
4 O 0.500 0.000 0.000
5 In 0.000 0.000 0.000

Values from the calculation:
The magnetization comes out at 0.000 Bohr magnetons per cell. For the uncorrected formation energy, the calculation gives -1.471 eV per atom.

***

DFT (PBE-GGA) results for a relaxed TbCe2Os crystal.

Cell: 6.040 9.591 14.406 Å, 90.00 90.00 90.00°
Atoms (fractional coordinates):
1 Tb 0.538 0.250 0.143
2 Tb 0.038 0.750 0.357
3 Tb 0.462 0.750 0.857
4 Tb 0.962 0.250 0.643
5 Tb 0.766 0.250 0.396
6 Tb 0.266 0.750 0.104
7 Tb 0.234 0.750 0.604
8 Tb 0.734 0.250 0.896
9 Ce 0.060 0.063 0.213
10 Ce 0.560 0.937 0.287
11 Ce 0.940 0.563 0.787
12 Ce 0.440 0.437 0.713
13 Ce 0.940 0.937 0.787
14 Ce 0.440 0.063 0.713
15 Ce 0.060 0.437 0.213
16 Ce 0.560 0.563 0.287
17 Ce 0.753 0.557 0.037
18 Ce 0.253 0.443 0.463
19 Ce 0.247 0.057 0.963
20 Ce 0.747 0.943 0.537
21 Ce 0.247 0.443 0.963
22 Ce 0.747 0.557 0.537
23 Ce 0.753 0.943 0.037
24 Ce 0.253 0.057 0.463
25 Os 0.285 0.250 0.323
26 Os 0.785 0.750 0.177
27 Os 0.715 0.750 0.677
28 Os 0.215 0.250 0.823
29 Os 0.009 0.250 0.070
30 Os 0.509 0.750 0.430
31 Os 0.991 0.750 0.930
32 Os 0.491 0.250 0.570

Values from the calculation:
The magnetization comes out at 0.130 Bohr magnetons per cell. The excess energy over the best structure of this formula in the dataset is 0 meV/atom.

***

DFT (PBE-GGA) results for a relaxed PrMnN crystal.

Cell: 5.002 3.247 3.247 Å, 120.00 90.00 90.00°
Atoms (fractional coordinates):
1 Pr 0.710 0.667 0.333
2 Mn 0.175 0.333 0.667
3 N 0.114 0.000 0.000

Values from the calculation:
The magnetization comes out at 0.001 Bohr magnetons per cell. For the uncorrected formation energy, the calculation gives -0.178 eV per atom. The excess energy over the best structure of this formula in the dataset is 0 meV/atom.

***

DFT (PBE-GGA) results for a relaxed Pm6BO12 crystal.

Cell: 6.593 6.593 6.593 Å, 99.05 99.05 99.05°
Each line ends with the local moment (μB).
Atoms (fractional coordinates):
1 Pm 0.700 0.857 0.396  0.00
2 Pm 0.604 0.300 0.143  0.00
3 Pm 0.143 0.604 0.300  0.00
4 Pm 0.300 0.143 0.604  0.00
5 Pm 0.396 0.700 0.857  0.00
6 Pm 0.857 0.396 0.700  0.00
7 B 0.000 0.000 0.000  -0.03
8 O 0.823 0.556 0.404  0.02
9 O 0.404 0.823 0.556  0.02
10 O 0.556 0.404 0.823  0.02
11 O 0.177 0.444 0.596  0.02
12 O 0.596 0.177 0.444  0.02
13 O 0.444 0.596 0.177  0.02
14 O 0.061 0.972 0.259  0.41
15 O 0.028 0.741 0.939  0.41
16 O 0.741 0.939 0.028  0.41
17 O 0.939 0.028 0.741  0.41
18 O 0.972 0.259 0.061  0.41
19 O 0.259 0.061 0.972  0.41

Values from the calculation:
The magnetization comes out at 3.033 Bohr magnetons per cell. For the uncorrected formation energy, the calculation gives -2.652 eV per atom.

***

DFT (PBE-GGA) results for a relaxed Mg4Tl5Pb2 crystal.

Cell: 4.478 9.117 7.837 Å, 105.67 88.82 103.56°
Atoms (fractional coordinates):
1 Mg 0.770 0.550 0.360
2 Mg 0.956 0.917 0.271
3 Mg 0.230 0.450 0.640
4 Mg 0.044 0.083 0.729
5 Tl 0.408 0.816 0.529
6 Tl 0.592 0.184 0.471
7 Tl 0.141 0.285 0.205
8 Tl 0.500 0.000 0.000
9 Tl 0.859 0.715 0.795
10 Pb 0.315 0.643 0.092
11 Pb 0.685 0.357 0.908

Values from the calculation:
The magnetization comes out at 0.000 Bohr magnetons per cell. The total energy comes out at -25.6 eV per formula unit.

***

DFT (PBE-GGA) results for a relaxed SiSNCl2 crystal.

Cell: 4.803 4.803 4.431 Å, 90.00 90.00 90.00°
Each line ends with the local moment (μB).
Atoms (fractional coordinates):
1 S 0.000 0.000 0.500  -0.10
2 N 0.500 0.500 0.500  1.89
3 Si 0.000 0.000 0.000  0.01
4 Cl 0.000 0.500 0.000  0.01
5 Cl 0.500 0.000 0.000  0.01

Values from the calculation:
The magnetization comes out at 2.722 Bohr magnetons per cell. For the uncorrected formation energy, the calculation gives 0.904 eV per atom. The excess energy over the best structure of this formula in the dataset is 0 meV/atom.

***

DFT (PBE-GGA) results for a relaxed Ce2PrTh3P6 crystal.

Cell: 7.170 7.170 7.162 Å, 99.60 99.60 119.99°
Each line ends with the local moment (μB).
Atoms (fractional coordinates):
1 Ce 0.333 0.667 0.000  0.36
2 Ce 0.667 0.333 0.000  0.36
3 Pr 0.000 0.000 0.000  0.01
4 Th 0.166 0.834 0.500  0.01
5 Th 0.834 0.166 0.500  0.01
6 Th 0.500 0.500 0.500  0.01
7 P 0.917 0.578 0.750  -0.01
8 P 0.745 0.745 0.250  -0.01
9 P 0.083 0.422 0.250  -0.01
10 P 0.578 0.917 0.750  -0.01
11 P 0.255 0.255 0.750  -0.01
12 P 0.422 0.083 0.250  -0.01

Values from the calculation:
The magnetization comes out at 0.881 Bohr magnetons per cell. The total energy comes out at -89.9 eV per formula unit.

***

DFT (PBE-GGA) results for a relaxed K2CaScI crystal.

Cell: 7.000 6.158 7.000 Å, 90.00 90.00 90.00°
Each line ends with the local moment (μB).
Atoms (fractional coordinates):
1 I 0.500 0.500 0.500  0.04
2 Sc 0.000 0.000 0.000  1.20
3 Ca 0.000 0.500 0.000  0.27
4 K 0.000 0.000 0.500  0.03
5 K 0.500 0.000 0.000  0.04

Values from the calculation:
The magnetization comes out at 3.790 Bohr magnetons per cell. For the uncorrected formation energy, the calculation gives 0.428 eV per atom. The excess energy over the best structure of this formula in the dataset is 0 meV/atom.

***

DFT (PBE-GGA) results for a relaxed YGa2CuPd4 crystal.

Cell: 4.385 4.385 8.365 Å, 74.80 74.80 60.00°
Atoms (fractional coordinates):
1 Y 0.000 0.000 0.000
2 Ga 0.758 0.758 0.725
3 Ga 0.242 0.242 0.275
4 Cu 0.500 0.500 0.500
5 Pd 0.396 0.396 0.813
6 Pd 0.872 0.872 0.385
7 Pd 0.128 0.128 0.615
8 Pd 0.604 0.604 0.187

Values from the calculation:
The magnetization comes out at 0.000 Bohr magnetons per cell. The total energy comes out at -42.4 eV per formula unit.